[1]
Material: NdEuZn
Method: DFT, PBE
State: optimized geometry

Cell lengths 5.1548, 5.1548, 3.8029 Å; angles 90.00, 90.00, 120.00 degrees
Sites, in units of the cell vectors:
Nd 0.0000 0.0000 0.0000
Eu 0.3333 0.6667 0.5645
Zn 0.6667 0.3333 0.2608

Summary:
- Excess energy over the best structure of this formula in the dataset: 16.7 kJ/mol of atoms

[2]
Material: NdEuZn2
Method: DFT, PBE
State: optimized geometry

Cell lengths 9.3054, 9.3054, 9.3054 Å; angles 23.77, 23.77, 23.77 degrees
Sites, in units of the cell vectors:
Nd 0.0000 0.0000 0.0000
Eu 0.5000 0.5000 0.5000
Zn 0.2523 0.2523 0.2523
Zn 0.7477 0.7477 0.7477

[3]
Material: NdEuZn2
Method: DFT, PBE
State: optimized geometry

Cell lengths 5.2426, 5.2426, 3.7356 Å; angles 90.00, 90.00, 90.00 degrees
Sites, in units of the cell vectors:
Nd 0.0000 0.0000 0.0000
Eu 0.5000 0.5000 0.0000
Zn 0.0000 0.5000 0.5000
Zn 0.5000 0.0000 0.5000

Computed E (eV per atom) in order:
-5.447 -4.451 -4.686
Computed energy of formation from the pure elements (kcal/mol of atoms) in order:
-0.19 -1.23 -6.64
Computed DOS at the Fermi energy (states/eV per cell) in order:
3.2 8.2 3.0